Record 1
DFT (PBE) results for an optimized crystal structure of BaNa2PI.

Formation energy from raw total energies   -844 meV/atom
Crystal system   tetragonal

abc: 5.4219 5.4219 6.3564
angles: 90.00 90.00 90.00
Last column: nearest neighbours and their distance in Å.
Space group P4/mmm (No. 123)
Symmetry-distinct sites (fractional):
Ba 0.0000 0.0000 0.0000 [1 per cell]  2 P 3.18
Na 0.0000 0.5000 0.5000 [2 per cell]  2 P 2.71
P 0.0000 0.0000 0.5000 [1 per cell]  4 Na 2.71
I 0.5000 0.5000 0.0000 [1 per cell]  4 Ba 3.83, 8 Na 4.18

Record 2
DFT (PBE) results for an optimized crystal structure of Ba2NaPI.

Formation energy from raw total energies   -849 meV/atom
Crystal system   tetragonal

abc: 6.2910 6.2910 5.4229
angles: 90.00 90.00 90.00
Last column: nearest neighbours and their distance in Å.
Space group P4/mmm (No. 123)
Symmetry-distinct sites (fractional):
Ba 0.0000 0.5000 0.0000 [2 per cell]  2 P 3.15
Na 0.0000 0.0000 0.5000 [1 per cell]  2 P 2.71
P 0.0000 0.0000 0.0000 [1 per cell]  2 Na 2.71
I 0.5000 0.5000 0.5000 [1 per cell]  8 Ba 4.15, 4 Na 4.45

Record 3
DFT (PBE) results for an optimized crystal structure of BaNaPbI2.

Formation energy from raw total energies   -504 meV/atom
Crystal system   tetragonal

abc: 6.6950 6.6950 6.8705
angles: 90.00 90.00 90.00
Last column: nearest neighbours and their distance in Å.
Space group P4/mmm (No. 123)
Symmetry-distinct sites (fractional):
Ba 0.0000 0.0000 0.0000 [1 per cell]  4 I 3.35, 2 Pb 3.44
Na 0.5000 0.5000 0.5000 [1 per cell]  4 Pb 4.73, 8 I 4.80
Pb 0.0000 0.0000 0.5000 [1 per cell]  2 Ba 3.44
I 0.0000 0.5000 0.0000 [2 per cell]  2 Ba 3.35

Record 4
DFT (PBE) results for an optimized crystal structure of BaNa2PbI6.

Formation energy from raw total energies   -1209 meV/atom
Crystal system   trigonal

abc: 8.3190 8.3190 22.4435
angles: 90.00 90.00 120.00
Last column: nearest neighbours and their distance in Å.
Space group R3 (No. 146, hexagonal axes)
Symmetry-distinct sites (fractional):
Ba 0.0000 0.0000 0.0000 [3 per cell]  6 I 3.45-3.51
Na 0.0000 0.0000 0.1936 [3 per cell]  6 I 3.22-3.29
Na 0.0000 0.0000 0.7003 [3 per cell]  6 I 3.23-3.33
Pb 0.0000 0.0000 0.5071 [3 per cell]  6 I 3.26-3.29
I 0.0229 0.3487 0.7710 [9 per cell]  2 Na 3.23-3.29, 1 Pb 3.29, 1 Ba 3.51
I 0.0521 0.6990 0.2680 [9 per cell]  2 Na 3.22-3.33, 1 Pb 3.26, 1 Ba 3.45

- formation energy from raw total energies of number 4 (BaNa2PbI6)?
  -1209 meV/atom